Computed, not measured: an optimized crystal structure of Cs2Tl2Se2O at the PBE level of DFT.

Total energy   -3.41 eV per atom
Uncorrected formation energy   -0.7847 eV per atom

Lattice parameters (Å, degrees): 14.4521 4.6427 8.5434 90.00 121.91 90.00
Last column: nearest neighbours and their distance in Å.
Space group C2/m (No. 12)
Asymmetric unit:
1 Cs 0.0537 0.0000 0.3059 x4  2 O 3.27
2 Tl 0.1762 0.5000 0.0769 x4  1 O 2.27
3 Se 0.1821 0.5000 0.7283 x4  3 Tl 2.96-3.02
4 O 0.0000 0.5000 0.0000 x2  2 Tl 2.27

=====

Computed, not measured: an optimized crystal structure of LiZn2Tc at the PBE level of DFT.

ΔH_f (0 K)   0.22 eV per atom
Total energy   -3.49 eV per atom
Energy above the most stable polymorph in this dataset   1.23 eV per formula unit

Lattice parameters (Å, degrees): 6.0384 6.0384 6.0384 90.00 90.00 90.00
Last column: nearest neighbours and their distance in Å.
Space group F-43m (No. 216)
Asymmetric unit:
1 Li 0.0000 0.0000 0.0000 x4  4 Tc 2.61, 4 Zn 2.61
2 Zn 0.0000 0.0000 0.5000 x4  4 Tc 2.61, 4 Zn 2.61
3 Zn 0.2500 0.2500 0.7500 x4  4 Li 2.61, 4 Zn 2.61
4 Tc 0.2500 0.2500 0.2500 x4  4 Li 2.61, 4 Zn 2.61

=====

Computed, not measured: an optimized crystal structure of MgInBi2 at the PBE level of DFT.

ΔH_f (0 K)   0.10 eV per atom
Total energy   -2.92 eV per atom

Lattice parameters (Å, degrees): 3.4532 3.4532 35.5225 90.00 90.00 120.00
Last column: nearest neighbours and their distance in Å.
Space group R-3m (No. 166, hexagonal axes)
Asymmetric unit:
1 Mg 0.0000 0.0000 0.0000 x3  2 Bi 2.98
2 In 0.0000 0.0000 0.5000 x3  6 In 3.45, 6 Bi 3.55
3 Bi 0.0000 0.0000 0.0839 x6  1 Mg 2.98